(1)
PmDy12Y6 (GGA-PBE, relaxed); uncorrected energy = -4.743 eV/atom; calculated formation energy = 10.488 kcal/mol of atoms
1.0
6.693 3.864 4.255
-6.693 3.864 4.255
0.000 -7.728 4.255
Pm Dy Y
1 12 6
Direct
0.000 0.000 0.000 Pm
0.118 0.500 0.882 Dy
0.118 0.882 0.500 Dy
0.184 0.470 0.470 Dy
0.470 0.184 0.470 Dy
0.470 0.470 0.184 Dy
0.500 0.118 0.882 Dy
0.500 0.882 0.118 Dy
0.530 0.530 0.816 Dy
0.530 0.816 0.530 Dy
0.816 0.530 0.530 Dy
0.882 0.118 0.500 Dy
0.882 0.500 0.118 Dy
0.204 0.204 0.743 Y
0.204 0.743 0.204 Y
0.257 0.796 0.796 Y
0.743 0.204 0.204 Y
0.796 0.257 0.796 Y
0.796 0.796 0.257 Y


(2)
Pm8Dy6Y (GGA-PBE, relaxed); uncorrected energy = -4.631 eV/atom; calculated formation energy = 4.027 kcal/mol of atoms
1.0
9.428 0.000 0.000
-4.714 8.165 0.000
0.000 0.000 6.568
Pm Dy Y
8 6 1
Direct
0.034 0.747 0.164 Pm
0.253 0.287 0.164 Pm
0.287 0.034 0.836 Pm
0.333 0.667 0.119 Pm
0.667 0.333 0.881 Pm
0.713 0.966 0.164 Pm
0.747 0.713 0.836 Pm
0.966 0.253 0.836 Pm
0.092 0.656 0.657 Dy
0.344 0.436 0.657 Dy
0.436 0.092 0.343 Dy
0.564 0.908 0.657 Dy
0.656 0.564 0.343 Dy
0.908 0.344 0.343 Dy
0.000 0.000 0.500 Y


(3)
Pm9DyY2 (GGA-PBE, relaxed); uncorrected energy = -5.008 eV/atom; calculated formation energy = 0.362 kcal/mol of atoms
1.0
5.131 0.000 0.000
0.000 5.131 0.000
0.000 0.000 15.391
Pm Dy Y
9 1 2
Direct
0.000 0.000 0.000 Pm
0.000 0.000 0.333 Pm
0.000 0.000 0.667 Pm
0.000 0.500 0.166 Pm
0.000 0.500 0.500 Pm
0.000 0.500 0.834 Pm
0.500 0.000 0.166 Pm
0.500 0.000 0.500 Pm
0.500 0.000 0.834 Pm
0.500 0.500 0.000 Dy
0.500 0.500 0.333 Y
0.500 0.500 0.667 Y


(4)
Pm6DyY12 (GGA-PBE, relaxed); uncorrected energy = -5.709 eV/atom; calculated formation energy = 2.667 kcal/mol of atoms
1.0
5.587 3.226 5.862
-5.587 3.226 5.862
0.000 -6.451 5.862
Pm Dy Y
6 1 12
Direct
0.270 0.270 0.663 Pm
0.270 0.663 0.270 Pm
0.337 0.730 0.730 Pm
0.663 0.270 0.270 Pm
0.730 0.337 0.730 Pm
0.730 0.730 0.337 Pm
0.500 0.500 0.500 Dy
0.014 0.364 0.364 Y
0.016 0.016 0.696 Y
0.016 0.696 0.016 Y
0.304 0.984 0.984 Y
0.364 0.014 0.364 Y
0.364 0.364 0.014 Y
0.636 0.636 0.986 Y
0.636 0.986 0.636 Y
0.696 0.016 0.016 Y
0.984 0.304 0.984 Y
0.984 0.984 0.304 Y
0.986 0.636 0.636 Y


(5)
Pm5Dy3Y2 (GGA-PBE, relaxed); uncorrected energy = -4.864 eV/atom; calculated formation energy = 4.251 kcal/mol of atoms
1.0
5.342 -7.391 0.000
5.342 7.391 0.000
-5.341 0.000 8.566
Pm Dy Y
10 6 4
Direct
0.019 0.981 0.750 Pm
0.124 0.379 0.751 Pm
0.269 0.731 0.250 Pm
0.379 0.124 0.251 Pm
0.479 0.521 0.250 Pm
0.521 0.479 0.750 Pm
0.621 0.876 0.749 Pm
0.731 0.269 0.750 Pm
0.876 0.621 0.249 Pm
0.981 0.019 0.250 Pm
0.028 0.278 0.058 Dy
0.229 0.771 0.750 Dy
0.278 0.028 0.558 Dy
0.722 0.972 0.442 Dy
0.771 0.229 0.250 Dy
0.972 0.722 0.942 Dy
0.219 0.472 0.443 Y
0.472 0.219 0.943 Y
0.528 0.781 0.057 Y
0.781 0.528 0.557 Y


(6)
Pm3Dy2Y7 (GGA-PBE, relaxed); uncorrected energy = -5.640 eV/atom; calculated formation energy = 1.975 kcal/mol of atoms
1.0
5.862 0.000 0.000
0.000 3.586 0.000
-1.036 0.000 18.832
Pm Dy Y
3 2 7
Direct
0.000 0.000 0.000 Pm
0.279 0.500 0.634 Pm
0.721 0.500 0.366 Pm
0.209 0.000 0.293 Dy
0.791 0.000 0.707 Dy
0.188 0.500 0.144 Y
0.243 0.000 0.463 Y
0.309 0.000 0.822 Y
0.500 0.500 0.000 Y
0.691 0.000 0.178 Y
0.757 0.000 0.537 Y
0.812 0.500 0.856 Y


(7)
PmDy8Y2 (GGA-PBE, relaxed); uncorrected energy = -4.798 eV/atom; calculated formation energy = 3.612 kcal/mol of atoms
1.0
9.580 -3.460 0.000
9.580 3.460 0.000
-0.296 0.000 5.545
Pm Dy Y
1 8 2
Direct
0.000 0.000 0.000 Pm
0.133 0.602 0.269 Dy
0.187 0.187 0.232 Dy
0.398 0.867 0.731 Dy
0.453 0.453 0.763 Dy
0.547 0.547 0.237 Dy
0.602 0.133 0.269 Dy
0.813 0.813 0.768 Dy
0.867 0.398 0.731 Dy
0.284 0.284 0.749 Y
0.716 0.716 0.251 Y


(8)
Pm4Dy4Y5 (GGA-PBE, relaxed); uncorrected energy = -5.346 eV/atom; calculated formation energy = 0.407 kcal/mol of atoms
1.0
-6.469 6.469 2.533
6.469 -6.469 2.533
6.469 6.469 -2.533
Pm Dy Y
4 4 5
Direct
0.078 0.383 0.461 Pm
0.383 0.922 0.306 Pm
0.617 0.078 0.694 Pm
0.922 0.617 0.539 Pm
0.154 0.769 0.924 Dy
0.231 0.154 0.385 Dy
0.769 0.846 0.615 Dy
0.846 0.231 0.076 Dy
0.000 0.000 0.000 Y
0.309 0.539 0.848 Y
0.461 0.309 0.770 Y
0.539 0.691 0.230 Y
0.691 0.461 0.152 Y


(9)
Pm11Dy9Y4 (GGA-PBE, relaxed); uncorrected energy = -4.919 eV/atom; calculated formation energy = 1.422 kcal/mol of atoms
1.0
8.481 -12.896 0.000
8.481 12.896 0.000
0.000 0.000 3.656
Pm Dy Y
11 9 4
Direct
0.000 0.000 0.000 Pm
0.041 0.404 0.000 Pm
0.162 0.838 0.000 Pm
0.290 0.290 0.000 Pm
0.368 0.632 0.000 Pm
0.404 0.041 0.000 Pm
0.596 0.959 0.000 Pm
0.632 0.368 0.000 Pm
0.710 0.710 0.000 Pm
0.838 0.162 0.000 Pm
0.959 0.596 0.000 Pm
0.066 0.213 0.500 Dy
0.166 0.630 0.500 Dy
0.213 0.066 0.500 Dy
0.370 0.834 0.500 Dy
0.500 0.500 0.500 Dy
0.630 0.166 0.500 Dy
0.787 0.934 0.500 Dy
0.834 0.370 0.500 Dy
0.934 0.787 0.500 Dy
0.241 0.444 0.500 Y
0.444 0.241 0.500 Y
0.556 0.759 0.500 Y
0.759 0.556 0.500 Y


(10)
PmDy5Y (GGA-PBE, relaxed); uncorrected energy = -4.705 eV/atom; calculated formation energy = 4.244 kcal/mol of atoms
1.0
5.859 -3.378 0.000
5.859 3.378 0.000
-4.207 0.000 11.457
Pm Dy Y
2 10 2
Direct
0.029 0.971 0.750 Pm
0.971 0.029 0.250 Pm
0.146 0.415 0.752 Dy
0.188 0.654 0.500 Dy
0.346 0.812 0.000 Dy
0.411 0.589 0.250 Dy
0.415 0.146 0.252 Dy
0.585 0.854 0.748 Dy
0.589 0.411 0.750 Dy
0.654 0.188 0.000 Dy
0.812 0.346 0.500 Dy
0.854 0.585 0.248 Dy
0.000 0.500 0.000 Y
0.500 0.000 0.500 Y


(11)
Pm14DyY (GGA-PBE, relaxed); uncorrected energy = -4.834 eV/atom; calculated formation energy = 0.334 kcal/mol of atoms
1.0
7.289 0.000 0.000
0.000 7.289 0.000
0.000 0.000 10.276
Pm Dy Y
14 1 1
Direct
0.000 0.000 0.000 Pm
0.000 0.500 0.000 Pm
0.000 0.500 0.500 Pm
0.250 0.250 0.251 Pm
0.250 0.250 0.749 Pm
0.250 0.750 0.251 Pm
0.250 0.750 0.749 Pm
0.500 0.000 0.000 Pm
0.500 0.000 0.500 Pm
0.500 0.500 0.000 Pm
0.750 0.250 0.251 Pm
0.750 0.250 0.749 Pm
0.750 0.750 0.251 Pm
0.750 0.750 0.749 Pm
0.000 0.000 0.500 Dy
0.500 0.500 0.500 Y


(12)
Pm2DyY (GGA-PBE, relaxed); uncorrected energy = -5.121 eV/atom; calculated formation energy = 0.473 kcal/mol of atoms
1.0
5.773 0.000 0.000
0.000 7.350 0.000
0.000 0.000 6.336
Pm Dy Y
4 2 2
Direct
0.250 0.000 0.168 Pm
0.250 0.500 0.168 Pm
0.750 0.000 0.832 Pm
0.750 0.500 0.832 Pm
0.250 0.250 0.667 Dy
0.750 0.750 0.333 Dy
0.250 0.750 0.664 Y
0.750 0.250 0.336 Y


(13)
Pm5DyY3 (GGA-PBE, relaxed); uncorrected energy = -4.808 eV/atom; calculated formation energy = 11.466 kcal/mol of atoms
1.0
7.652 -5.839 0.000
7.652 5.839 0.000
-6.352 0.000 7.657
Pm Dy Y
10 2 6
Direct
0.098 0.602 0.256 Pm
0.228 0.228 0.237 Pm
0.247 0.753 0.000 Pm
0.275 0.275 0.953 Pm
0.398 0.902 0.744 Pm
0.602 0.098 0.256 Pm
0.725 0.725 0.047 Pm
0.753 0.247 0.000 Pm
0.772 0.772 0.763 Pm
0.902 0.398 0.744 Pm
0.248 0.248 0.593 Dy
0.752 0.752 0.407 Dy
0.000 0.000 0.500 Y
0.008 0.008 0.825 Y
0.485 0.485 0.647 Y
0.500 0.500 0.000 Y
0.515 0.515 0.353 Y
0.992 0.992 0.175 Y


(14)
Pm4Dy5Y6 (GGA-PBE, relaxed); uncorrected energy = -5.309 eV/atom; calculated formation energy = 1.791 kcal/mol of atoms
1.0
2.739 -10.840 0.000
2.739 10.840 0.000
0.000 0.000 16.546
Pm Dy Y
8 10 12
Direct
0.037 0.963 0.500 Pm
0.072 0.928 0.154 Pm
0.144 0.856 0.955 Pm
0.153 0.847 0.641 Pm
0.847 0.153 0.141 Pm
0.856 0.144 0.455 Pm
0.928 0.072 0.654 Pm
0.963 0.037 0.000 Pm
0.143 0.857 0.339 Dy
0.264 0.736 0.798 Dy
0.347 0.653 0.301 Dy
0.357 0.643 0.982 Dy
0.464 0.536 0.440 Dy
0.536 0.464 0.940 Dy
0.643 0.357 0.482 Dy
0.653 0.347 0.801 Dy
0.736 0.264 0.298 Dy
0.857 0.143 0.839 Dy
0.035 0.965 0.798 Y
0.237 0.763 0.142 Y
0.250 0.750 0.474 Y
0.361 0.639 0.605 Y
0.429 0.571 0.791 Y
0.463 0.537 0.144 Y
0.537 0.463 0.644 Y
0.571 0.429 0.291 Y
0.639 0.361 0.105 Y
0.750 0.250 0.974 Y
0.763 0.237 0.642 Y
0.965 0.035 0.298 Y


(15)
Pm3Dy4Y2 (GGA-PBE, relaxed); uncorrected energy = -5.047 eV/atom; calculated formation energy = 0.422 kcal/mol of atoms
1.0
7.607 -2.534 0.000
7.607 2.534 0.000
-2.540 0.000 7.604
Pm Dy Y
3 4 2
Direct
0.000 0.000 0.000 Pm
0.111 0.111 0.664 Pm
0.889 0.889 0.336 Pm
0.222 0.222 0.334 Dy
0.444 0.444 0.666 Dy
0.556 0.556 0.334 Dy
0.778 0.778 0.666 Dy
0.333 0.333 0.999 Y
0.667 0.667 0.001 Y


(16)
PmDy3Y6 (GGA-PBE, relaxed); uncorrected energy = -5.619 eV/atom; calculated formation energy = 2.652 kcal/mol of atoms
1.0
4.830 -10.513 0.000
4.830 10.513 0.000
0.000 0.000 6.413
Pm Dy Y
2 6 12
Direct
0.162 0.838 0.500 Pm
0.838 0.162 0.000 Pm
0.042 0.296 0.526 Dy
0.296 0.042 0.026 Dy
0.419 0.581 0.415 Dy
0.581 0.419 0.915 Dy
0.704 0.958 0.526 Dy
0.958 0.704 0.026 Dy
0.015 0.985 0.698 Y
0.106 0.542 0.182 Y
0.260 0.379 0.941 Y
0.302 0.698 0.722 Y
0.379 0.260 0.441 Y
0.458 0.894 0.182 Y
0.542 0.106 0.682 Y
0.621 0.740 0.941 Y
0.698 0.302 0.222 Y
0.740 0.621 0.441 Y
0.894 0.458 0.682 Y
0.985 0.015 0.198 Y


(17)
PmDy2Y (GGA-PBE, relaxed); uncorrected energy = -5.090 eV/atom; calculated formation energy = 0.329 kcal/mol of atoms
1.0
-1.827 5.710 3.149
1.827 -5.710 3.149
1.827 5.710 -3.149
Pm Dy Y
1 2 1
Direct
0.000 0.000 0.000 Pm
0.416 0.665 0.751 Dy
0.915 0.665 0.249 Dy
0.498 0.998 0.500 Y